The following is a PBE-GGA calculation of a geometry-optimized KZrAgTe3 structure, from the Open Quantum Materials Database.

Output
size of the total moment: 0.01 μB per cell
final energy: -4.4141 eV per atom

Unit cell a=4.199 b=15.897 c=11.189 alpha=90.00 beta=90.00 gamma=90.00
Space group Cmcm (No. 63)
One atom of each set of equivalent atoms:
1 K 0.000 0.241 0.250 (multiplicity 4)
2 Zr 0.000 0.000 0.000 (multiplicity 4)
3 Ag 0.000 0.459 0.750 (multiplicity 4)
4 Te 0.000 0.074 0.750 (multiplicity 4)
5 Te 0.000 0.371 0.538 (multiplicity 8)